P:
A plane-wave DFT calculation with PBE was carried out for an optimized crystal structure of Tb3Nd2Tl2.

Structure (CIF):
```
data_Tb3Nd2Tl2
_space_group_name_H-M_alt 'P 1'
_space_group_IT_number 1
_space_group_name_Hall 'P 1'
_cell_length_a 5.234
_cell_length_b 3.700
_cell_length_c 11.797
_cell_angle_alpha 99.02
_cell_angle_beta 102.82
_cell_angle_gamma 90.00
loop_
_atom_site_label
_atom_site_fract_x
_atom_site_fract_y
_atom_site_fract_z
Nd1 0.427 0.427 0.855
Tb1 0.704 0.204 0.408
Tl1 0.154 0.654 0.308
Tb2 0.296 0.796 0.592
Tb3 0.000 0.000 0.000
Nd2 0.573 0.573 0.145
Tl2 0.846 0.346 0.692
```

Results
* Fermi-level density of states: 6.17 states/eV/cell
* crystal system: orthorhombic
* magnetic moment: 0.00 μB per formula unit



Q:
A plane-wave DFT calculation with PBE was carried out for an optimized crystal structure of Tb3Nd2Tl2.

Structure (CIF):
```
data_Tb3Nd2Tl2
_space_group_name_H-M_alt 'P 1'
_space_group_IT_number 1
_space_group_name_Hall 'P 1'
_cell_length_a 5.499
_cell_length_b 5.492
_cell_length_c 8.792
_cell_angle_alpha 108.25
_cell_angle_beta 90.00
_cell_angle_gamma 120.04
loop_
_atom_site_label
_atom_site_fract_x
_atom_site_fract_y
_atom_site_fract_z
Tb1 0.346 0.693 0.539
Tb2 0.654 0.307 0.461
Tb3 0.500 0.000 0.000
Nd1 0.077 0.153 0.730
Tl1 0.783 0.566 0.849
Nd2 0.923 0.847 0.270
Tl2 0.217 0.434 0.151
```

Results
* Fermi-level density of states: 6.25 states/eV/cell
* crystal system: monoclinic
* magnetic moment: 0.00 μB per formula unit



Short version: Q, P, most stable first.



P:
A plane-wave DFT calculation with PBE was carried out for an optimized crystal structure of Tb6Nd3Tl.

Structure (CIF):
```
data_Tb6Nd3Tl
_space_group_name_H-M_alt 'P 1'
_space_group_IT_number 1
_space_group_name_Hall 'P 1'
_cell_length_a 6.246
_cell_length_b 11.131
_cell_length_c 11.131
_cell_angle_alpha 122.36
_cell_angle_beta 90.00
_cell_angle_gamma 90.00
loop_
_atom_site_label
_atom_site_fract_x
_atom_site_fract_y
_atom_site_fract_z
Tb1 0.885 0.433 0.033
Tb2 0.885 0.967 0.567
Tb3 0.146 0.713 0.287
Nd1 0.420 0.952 0.715
Nd2 0.420 0.285 0.048
Tb4 0.385 0.033 0.433
Nd3 0.569 0.604 0.396
Nd4 0.920 0.048 0.285
Tl1 0.160 0.236 0.764
Tb5 0.912 0.059 0.941
Nd5 0.069 0.396 0.604
Tb6 0.646 0.287 0.713
Tb7 0.412 0.941 0.059
Tb8 0.544 0.289 0.373
Tl2 0.660 0.764 0.236
Tb9 0.544 0.627 0.711
Nd6 0.920 0.715 0.952
Tb10 0.385 0.567 0.967
Tb11 0.044 0.373 0.289
Tb12 0.044 0.711 0.627
```

Results
* Fermi-level density of states: 26.30 states/eV/cell
* crystal system: orthorhombic
* magnetic moment: 0.00 μB per formula unit



Q:
A plane-wave DFT calculation with PBE was carried out for an optimized crystal structure of Tb6Nd3Tl.

Structure (CIF):
```
data_Tb6Nd3Tl
_space_group_name_H-M_alt 'P 1'
_space_group_IT_number 1
_space_group_name_Hall 'P 1'
_cell_length_a 3.540
_cell_length_b 12.891
_cell_length_c 14.461
_cell_angle_alpha 101.14
_cell_angle_beta 90.00
_cell_angle_gamma 90.00
loop_
_atom_site_label
_atom_site_fract_x
_atom_site_fract_y
_atom_site_fract_z
Nd1 0.250 0.367 0.495
Tb1 0.750 0.773 0.716
Tb2 0.250 0.227 0.284
Nd2 0.750 0.633 0.505
Tb3 0.750 0.758 0.312
Tb4 0.250 0.512 0.309
Nd3 0.250 0.579 0.098
Tb5 0.750 0.488 0.691
Tb6 0.250 0.190 0.922
Tl1 0.750 0.035 0.727
Tb7 0.250 0.893 0.542
Tl2 0.250 0.965 0.273
Nd4 0.750 0.421 0.902
Nd5 0.250 0.925 0.898
Tb8 0.750 0.810 0.078
Tb9 0.250 0.242 0.688
Tb10 0.750 0.107 0.458
Tb11 0.250 0.657 0.883
Tb12 0.750 0.343 0.117
Nd6 0.750 0.075 0.102
```

Results
* Fermi-level density of states: 27.68 states/eV/cell
* crystal system: monoclinic
* magnetic moment: 0.00 μB per formula unit



Short version: Q, P, most stable first.



P:
A plane-wave DFT calculation with PBE was carried out for an optimized crystal structure of Tb2Nd3Tl.

Structure (CIF):
```
data_Tb2Nd3Tl
_space_group_name_H-M_alt 'P 1'
_space_group_IT_number 1
_space_group_name_Hall 'P 1'
_cell_length_a 6.888
_cell_length_b 6.560
_cell_length_c 9.377
_cell_angle_alpha 98.38
_cell_angle_beta 111.55
_cell_angle_gamma 90.00
loop_
_atom_site_label
_atom_site_fract_x
_atom_site_fract_y
_atom_site_fract_z
Tb1 0.553 0.073 0.323
Tl1 0.721 0.750 0.000
Nd1 0.285 0.544 0.337
Nd2 0.715 0.456 0.663
Tb2 0.447 0.927 0.677
Tb3 0.230 0.427 0.677
Nd3 0.769 0.250 0.000
Nd4 0.948 0.956 0.663
Nd5 0.231 0.750 0.000
Tb4 0.770 0.573 0.323
Tl2 0.279 0.250 0.000
Nd6 0.052 0.044 0.337
```

Results
* Fermi-level density of states: 12.19 states/eV/cell
* crystal system: monoclinic
* magnetic moment: 0.00 μB per formula unit



Q:
A plane-wave DFT calculation with PBE was carried out for an optimized crystal structure of Tb2Nd3Tl.

Structure (CIF):
```
data_Tb2Nd3Tl
_space_group_name_H-M_alt 'P 1'
_space_group_IT_number 1
_space_group_name_Hall 'P 1'
_cell_length_a 4.946
_cell_length_b 4.997
_cell_length_c 8.102
_cell_angle_alpha 107.96
_cell_angle_beta 90.00
_cell_angle_gamma 90.00
loop_
_atom_site_label
_atom_site_fract_x
_atom_site_fract_y
_atom_site_fract_z
Tl1 0.000 0.000 0.000
Nd1 0.500 0.500 0.000
Tb1 0.000 0.337 0.674
Nd2 0.500 0.831 0.662
Nd3 0.500 0.169 0.338
Tb2 0.000 0.663 0.326
```

Results
* Fermi-level density of states: 7.24 states/eV/cell
* crystal system: orthorhombic
* magnetic moment: 0.00 μB per formula unit



Short version: Q, P, most stable first.



P:
A plane-wave DFT calculation with PBE was carried out for an optimized crystal structure of Tb7Nd3Tm2.

Structure (CIF):
```
data_Tb7Nd3Tm2
_space_group_name_H-M_alt 'P 1'
_space_group_IT_number 1
_space_group_name_Hall 'P 1'
_cell_length_a 3.572
_cell_length_b 5.852
_cell_length_c 18.841
_cell_angle_alpha 93.04
_cell_angle_beta 90.00
_cell_angle_gamma 90.00
loop_
_atom_site_label
_atom_site_fract_x
_atom_site_fract_y
_atom_site_fract_z
Tb1 0.000 0.309 0.855
Tm1 0.500 0.288 0.707
Tb2 0.500 0.193 0.178
Tb3 0.500 0.743 0.463
Nd1 0.500 0.500 0.000
Nd2 0.000 0.778 0.634
Tb4 0.500 0.807 0.822
Nd3 0.000 0.222 0.366
Tb5 0.000 0.000 0.000
Tb6 0.500 0.257 0.537
Tb7 0.000 0.691 0.145
Tm2 0.500 0.712 0.293
```

Results
* Fermi-level density of states: 15.38 states/eV/cell
* crystal system: monoclinic
* magnetic moment: 0.00 μB per formula unit



Q:
A plane-wave DFT calculation with PBE was carried out for an optimized crystal structure of Tb7Nd3Tm2.

Structure (CIF):
```
data_Tb7Nd3Tm2
_space_group_name_H-M_alt 'P 1'
_space_group_IT_number 1
_space_group_name_Hall 'P 1'
_cell_length_a 6.510
_cell_length_b 6.510
_cell_length_c 11.943
_cell_angle_alpha 74.18
_cell_angle_beta 74.18
_cell_angle_gamma 60.00
loop_
_atom_site_label
_atom_site_fract_x
_atom_site_fract_y
_atom_site_fract_z
Tm1 0.667 0.667 0.000
Tb1 0.500 0.500 0.500
Tb2 0.584 0.082 0.750
Nd1 0.000 0.000 0.000
Tb3 0.416 0.918 0.250
Nd2 0.844 0.844 0.467
Tb4 0.584 0.584 0.750
Tb5 0.082 0.584 0.750
Nd3 0.156 0.156 0.533
Tm2 0.333 0.333 0.000
Tb6 0.416 0.416 0.250
Tb7 0.918 0.416 0.250
```

Results
* Fermi-level density of states: 19.51 states/eV/cell
* crystal system: trigonal
* magnetic moment: 0.00 μB per formula unit



Short version: P, Q, most stable first.



P:
A plane-wave DFT calculation with PBE was carried out for an optimized crystal structure of Tb3Nd2Tm4.

Structure (CIF):
```
data_Tb3Nd2Tm4
_space_group_name_H-M_alt 'P 1'
_space_group_IT_number 1
_space_group_name_Hall 'P 1'
_cell_length_a 6.016
_cell_length_b 11.223
_cell_length_c 11.223
_cell_angle_alpha 62.09
_cell_angle_beta 63.45
_cell_angle_gamma 63.45
loop_
_atom_site_label
_atom_site_fract_x
_atom_site_fract_y
_atom_site_fract_z
Nd1 0.936 0.510 0.276
Tb1 0.739 0.686 0.987
Tb2 0.239 0.987 0.686
Tb3 0.250 0.649 0.351
Tm1 0.422 0.953 0.169
Nd2 0.436 0.276 0.510
Tb4 0.750 0.351 0.649
Tm2 0.922 0.169 0.953
Tm3 0.578 0.047 0.831
Tm4 0.402 0.623 0.844
Tm5 0.078 0.831 0.047
Tm6 0.098 0.156 0.377
Tb5 0.761 0.013 0.314
Nd3 0.064 0.490 0.724
Tm7 0.598 0.377 0.156
Tb6 0.261 0.314 0.013
Nd4 0.564 0.724 0.490
Tm8 0.902 0.844 0.623
```

Results
* Fermi-level density of states: 25.71 states/eV/cell
* crystal system: monoclinic
* magnetic moment: 0.00 μB per formula unit



Q:
A plane-wave DFT calculation with PBE was carried out for an optimized crystal structure of Tb3Nd2Tm4.

Structure (CIF):
```
data_Tb3Nd2Tm4
_space_group_name_H-M_alt 'P 1'
_space_group_IT_number 1
_space_group_name_Hall 'P 1'
_cell_length_a 5.026
_cell_length_b 7.954
_cell_length_c 14.679
_cell_angle_alpha 144.49
_cell_angle_beta 90.00
_cell_angle_gamma 108.42
loop_
_atom_site_label
_atom_site_fract_x
_atom_site_fract_y
_atom_site_fract_z
Tm1 0.669 0.339 0.001
Nd1 0.225 0.451 0.669
Tb1 0.446 0.892 0.333
Tm2 0.331 0.661 0.999
Tm3 0.109 0.218 0.331
Tb2 0.554 0.108 0.667
Nd2 0.775 0.549 0.331
Tb3 0.000 0.000 0.000
Tm4 0.891 0.782 0.669
```

Results
* Fermi-level density of states: 11.76 states/eV/cell
* crystal system: monoclinic
* magnetic moment: 0.00 μB per formula unit



Short version: Q, P, most stable first.